# 1
VASP calculation (GGA+U) on Ac2YCoO6 after structural relaxation.

The value obtained for the density of states at the Fermi level is 0.000 states/eV per atom. The magnetization is 0.077 μB per formula unit.

The space group is Fm-3m (No. 225) and the conventional cell measures 8.1750, 8.1750 and 8.1750 Å, with angles of 90.00, 90.00 and 90.00 degrees. Symmetry generates all atoms from Ac at (0.2500, 0.2500, 0.2500), Y at (0.0000, 0.0000, 0.0000), Co at (0.0000, 0.0000, 0.5000) and O at (0.0000, 0.0000, 0.2662).

---

# 2
VASP calculation (GGA+U) on Ac4YCo3O12 after structural relaxation.

The value obtained for the density of states at the Fermi level is 0.115 states/eV per atom. The magnetization is 6.000 μB per formula unit.

The space group is Im-3m (No. 229) and the conventional cell measures 8.0581, 8.0581 and 8.0581 Å, with angles of 90.00, 90.00 and 90.00 degrees. Symmetry generates all atoms from Ac at (0.2500, 0.2500, 0.2500), Y at (0.0000, 0.0000, 0.0000), Co at (0.0000, 0.0000, 0.5000), O at (0.0000, 0.0000, 0.2662) and O at (0.0000, 0.2500, 0.5000).

---

It is found that the total energy values, taken in the order of the records, are -7.6723, -7.3106 eV per atom.